Material: LiNdFeH6
Method: DFT, GGA-PBE
State: relaxed

Results
The calculation puts the energy at -38.206 eV per cell.

a b c (Å): 4.4842 4.4842 4.2752
angles (deg): 90.00 90.00 120.00
Space group P-6m2 (No. 187)
One atom of each set of equivalent atoms:
Li  0.0000  0.0000  0.0000 x1
Nd  0.6667  0.3333  0.5000 x1
Fe  0.3333  0.6667  0.0000 x1
H  0.1844  0.3689  0.2524 x6